(i)
Density functional theory data (GGA-PBE) for a geometry-optimized SmThCo4 structure.

**Symmetry**: Pmmm, No. 47
**Theoretical density**: 9.53 g/cm3
**N(E_F)**: 1.254 states/eV per atom

abc: 4.008 3.947 6.810
angles: 90.00 90.00 90.00
Sites, in units of the cell vectors:
Th 0.999 0.497 0.998
Co 0.499 0.997 0.832
Co 0.499 0.997 0.164
Co 0.499 0.497 0.667
Co 0.499 0.497 0.329
Sm 0.999 0.997 0.498

***

(ii)
Density functional theory data (GGA-PBE) for a geometry-optimized SmThCo4 structure.

**Symmetry**: F-43m, No. 216
**Theoretical density**: 10.96 g/cm3
**N(E_F)**: 1.169 states/eV per atom

abc: 5.097 5.097 5.097
angles: 60.00 60.00 60.00
Sites, in units of the cell vectors:
Co 0.625 0.125 0.625
Co 0.625 0.625 0.625
Co 0.625 0.625 0.125
Co 0.125 0.625 0.625
Sm 0.250 0.250 0.250
Th 0.000 0.000 0.000

***

Which structure wins on stability? (i) wins.

***

(i)
Density functional theory data (GGA-PBE) for a geometry-optimized Sm5Tl2Co structure.

**Symmetry**: Pbam, No. 55
**Theoretical density**: 8.77 g/cm3
**N(E_F)**: 0.884 states/eV per atom

abc: 4.726 8.179 11.942
angles: 90.00 90.00 90.00
Sites, in units of the cell vectors:
Tl 0.500 0.074 0.330
Tl 0.500 0.926 0.670
Tl 0.500 0.574 0.170
Tl 0.500 0.426 0.830
Sm 0.500 0.681 0.433
Sm 0.000 0.865 0.196
Sm 0.000 0.000 0.500
Sm 0.500 0.181 0.067
Sm 0.000 0.135 0.804
Sm 0.000 0.500 0.000
Sm 0.000 0.635 0.696
Sm 0.000 0.365 0.304
Sm 0.500 0.819 0.933
Sm 0.500 0.319 0.567
Co 0.000 0.500 0.500
Co 0.000 0.000 0.000

***

(ii)
Density functional theory data (GGA-PBE) for a geometry-optimized Sm5Tl2Co structure.

**Symmetry**: Cmcm, No. 63
**Theoretical density**: 7.07 g/cm3
**N(E_F)**: 1.106 states/eV per atom

abc: 5.352 8.925 12.572
angles: 90.00 90.00 107.45
Sites, in units of the cell vectors:
Sm 0.294 0.587 0.083
Sm 0.075 0.151 0.396
Sm 0.705 0.410 0.250
Sm 0.075 0.151 0.104
Sm 0.925 0.849 0.604
Sm 0.925 0.849 0.896
Sm 0.706 0.413 0.583
Sm 0.294 0.587 0.417
Sm 0.706 0.413 0.917
Sm 0.295 0.590 0.750
Co 0.186 0.373 0.250
Co 0.814 0.627 0.750
Tl 0.112 0.225 0.634
Tl 0.888 0.775 0.134
Tl 0.112 0.225 0.866
Tl 0.888 0.775 0.366

***

Which structure wins on stability? (i) wins.

***

(i)
Density functional theory data (GGA-PBE) for a geometry-optimized Sm8Tl2Co structure.

**Symmetry**: C2/m, No. 12
**Theoretical density**: 8.59 g/cm3
**N(E_F)**: 1.193 states/eV per atom

abc: 5.348 6.844 9.861
angles: 110.75 105.73 90.00
Sites, in units of the cell vectors:
Sm 0.014 0.789 0.027
Sm 0.792 0.694 0.584
Sm 0.588 0.428 0.176
Sm 0.645 0.970 0.289
Sm 0.986 0.211 0.973
Sm 0.412 0.572 0.824
Sm 0.355 0.030 0.711
Sm 0.208 0.306 0.416
Co 0.500 0.000 0.000
Tl 0.174 0.727 0.348
Tl 0.826 0.273 0.652

***

(ii)
Density functional theory data (GGA-PBE) for a geometry-optimized Sm8Tl2Co structure.

**Symmetry**: Cm, No. 8
**Theoretical density**: 8.56 g/cm3
**N(E_F)**: 1.123 states/eV per atom

abc: 5.768 9.322 9.322
angles: 121.23 108.73 108.73
Sites, in units of the cell vectors:
Sm 0.738 0.185 0.408
Sm 0.000 0.817 0.222
Sm 0.293 0.909 0.684
Sm 0.000 0.222 0.817
Sm 0.641 0.634 0.634
Sm 0.738 0.408 0.185
Sm 0.991 0.121 0.121
Sm 0.293 0.684 0.909
Tl 0.490 0.715 0.320
Tl 0.490 0.320 0.715
Co 0.326 0.019 0.019

***

Which structure wins on stability? (ii) wins.

***

(i)
Density functional theory data (GGA-PBE) for a geometry-optimized Sm2TmCo structure.

**Symmetry**: Pnna, No. 52
**Theoretical density**: 7.71 g/cm3
**N(E_F)**: 0.966 states/eV per atom

abc: 6.218 6.508 11.249
angles: 90.00 90.00 90.00
Sites, in units of the cell vectors:
Sm 0.255 0.088 0.087
Sm 0.245 0.088 0.413
Sm 0.245 0.588 0.587
Sm 0.755 0.912 0.587
Sm 0.755 0.412 0.413
Sm 0.745 0.412 0.087
Sm 0.745 0.912 0.913
Sm 0.255 0.588 0.913
Co 0.000 0.250 0.589
Co 0.000 0.750 0.411
Co 0.500 0.750 0.089
Co 0.500 0.250 0.911
Tm 0.750 0.419 0.750
Tm 0.250 0.081 0.750
Tm 0.250 0.581 0.250
Tm 0.750 0.919 0.250

***

(ii)
Density functional theory data (GGA-PBE) for a geometry-optimized Sm2TmCo structure.

**Symmetry**: Pnma, No. 62
**Theoretical density**: 8.34 g/cm3
**N(E_F)**: 1.173 states/eV per atom

abc: 6.200 7.003 9.700
angles: 90.00 90.00 90.00
Sites, in units of the cell vectors:
Sm 0.324 0.177 0.431
Sm 0.676 0.823 0.931
Sm 0.676 0.823 0.569
Sm 0.176 0.677 0.431
Sm 0.324 0.177 0.069
Sm 0.824 0.323 0.931
Sm 0.176 0.677 0.069
Sm 0.824 0.323 0.569
Co 0.547 0.116 0.750
Co 0.953 0.616 0.750
Co 0.047 0.384 0.250
Co 0.453 0.884 0.250
Tm 0.848 0.044 0.250
Tm 0.152 0.956 0.750
Tm 0.348 0.456 0.750
Tm 0.652 0.544 0.250

***

(iii)
Density functional theory data (GGA-PBE) for a geometry-optimized Sm2TmCo structure.

**Symmetry**: R-3m, No. 166
**Theoretical density**: 7.54 g/cm3
**N(E_F)**: 1.340 states/eV per atom

abc: 3.600 3.600 10.580
angles: 80.21 80.21 60.00
Sites, in units of the cell vectors:
Co 0.500 0.500 0.500
Tm 0.000 0.000 0.000
Sm 0.112 0.112 0.665
Sm 0.888 0.888 0.335

***

Which structure wins on stability? (ii) wins.

***

(i)
Density functional theory data (GGA-PBE) for a geometry-optimized SmTm3Co2 structure.

**Symmetry**: C2/m, No. 12
**Theoretical density**: 8.89 g/cm3
**N(E_F)**: 1.231 states/eV per atom

abc: 3.729 8.342 9.856
angles: 78.46 79.10 77.09
Sites, in units of the cell vectors:
Co 0.768 0.918 0.547
Co 0.232 0.082 0.453
Co 0.235 0.580 0.950
Co 0.765 0.420 0.050
Tm 0.415 0.736 0.435
Tm 0.842 0.069 0.247
Tm 0.584 0.778 0.054
Tm 0.585 0.264 0.565
Tm 0.158 0.931 0.753
Tm 0.416 0.222 0.946
Sm 0.156 0.431 0.257
Sm 0.844 0.569 0.743

***

(ii)
Density functional theory data (GGA-PBE) for a geometry-optimized SmTm3Co2 structure.

**Symmetry**: C2/m, No. 12
**Theoretical density**: 9.49 g/cm3
**N(E_F)**: 0.908 states/eV per atom

abc: 4.909 8.951 7.975
angles: 124.78 90.00 105.92
Sites, in units of the cell vectors:
Sm 0.133 0.266 0.045
Sm 0.867 0.734 0.955
Co 0.494 0.988 0.140
Co 0.775 0.551 0.183
Co 0.225 0.449 0.817
Co 0.506 0.012 0.860
Tm 0.319 0.638 0.633
Tm 0.631 0.261 0.752
Tm 0.369 0.739 0.248
Tm 0.068 0.136 0.405
Tm 0.681 0.362 0.367
Tm 0.932 0.864 0.595

***

Which structure wins on stability? (i) wins.

***

(i)
Density functional theory data (GGA-PBE) for a geometry-optimized SmVCo2 structure.

**Symmetry**: R-3m, No. 166
**Theoretical density**: 7.67 g/cm3
**N(E_F)**: 1.422 states/eV per atom

abc: 3.978 3.978 5.537
angles: 68.95 68.95 60.00
Sites, in units of the cell vectors:
Co 0.299 0.299 0.103
Co 0.701 0.701 0.897
Sm 0.500 0.500 0.500
V 0.000 0.000 0.000

***

(ii)
Density functional theory data (GGA-PBE) for a geometry-optimized SmVCo2 structure.

**Symmetry**: P4/mmm, No. 123
**Theoretical density**: 8.62 g/cm3
**N(E_F)**: 0.884 states/eV per atom

abc: 2.972 2.972 6.960
angles: 90.00 90.00 90.00
Sites, in units of the cell vectors:
Co 0.000 0.000 0.816
Co 0.000 0.000 0.184
V 0.500 0.500 0.000
Sm 0.500 0.500 0.500

***

Which structure wins on stability? (i) wins.